(1)
A plane-wave DFT calculation with PBE-GGA was carried out for a relaxed structure of ScTlHg2.

a b c (Å): 7.169 7.169 7.169
angles (deg): 90.00 90.00 90.00
Fractional positions:
Sc: 0.000 0.000 0.000
Sc: 0.000 0.500 0.500
Sc: 0.500 0.000 0.500
Sc: 0.500 0.500 0.000
Tl: 0.250 0.250 0.750
Tl: 0.250 0.750 0.250
Tl: 0.750 0.250 0.250
Tl: 0.750 0.750 0.750
Hg: 0.000 0.000 0.500
Hg: 0.000 0.500 0.000
Hg: 0.250 0.250 0.250
Hg: 0.250 0.750 0.750
Hg: 0.500 0.000 0.000
Hg: 0.500 0.500 0.500
Hg: 0.750 0.250 0.750
Hg: 0.750 0.750 0.250

Properties
* SG: F-43m
* energy: -9.6 eV/f.u.


(2)
A plane-wave DFT calculation with PBE-GGA was carried out for a relaxed structure of RbU2F9.

a b c (Å): 8.649 11.403 6.944
angles (deg): 90.00 90.00 90.00
Fractional positions:
Rb: 0.032 0.250 0.132
Rb: 0.468 0.750 0.632
Rb: 0.532 0.250 0.368
Rb: 0.968 0.750 0.868
U: 0.175 0.051 0.650
U: 0.175 0.449 0.650
U: 0.325 0.551 0.150
U: 0.325 0.949 0.150
U: 0.675 0.051 0.850
U: 0.675 0.449 0.850
U: 0.825 0.551 0.350
U: 0.825 0.949 0.350
F: 0.007 0.602 0.570
F: 0.007 0.898 0.570
F: 0.064 0.578 0.190
F: 0.064 0.922 0.190
F: 0.175 0.250 0.663
F: 0.214 0.096 0.967
F: 0.214 0.404 0.967
F: 0.221 0.609 0.849
F: 0.221 0.891 0.849
F: 0.279 0.109 0.349
F: 0.279 0.391 0.349
F: 0.286 0.596 0.467
F: 0.286 0.904 0.467
F: 0.325 0.750 0.163
F: 0.436 0.078 0.690
F: 0.436 0.422 0.690
F: 0.493 0.102 0.070
F: 0.493 0.398 0.070
F: 0.507 0.602 0.930
F: 0.507 0.898 0.930
F: 0.564 0.578 0.310
F: 0.564 0.922 0.310
F: 0.675 0.250 0.837
F: 0.714 0.096 0.533
F: 0.714 0.404 0.533
F: 0.721 0.609 0.651
F: 0.721 0.891 0.651
F: 0.779 0.109 0.151
F: 0.779 0.391 0.151
F: 0.786 0.596 0.033
F: 0.786 0.904 0.033
F: 0.825 0.750 0.337
F: 0.936 0.078 0.810
F: 0.936 0.422 0.810
F: 0.993 0.102 0.430
F: 0.993 0.398 0.430

Properties
* SG: Pnma
* energy: -82.2 eV/f.u.


(3)
A plane-wave DFT calculation with PBE-GGA was carried out for a relaxed structure of TbSbN2O.

a b c (Å): 5.700 8.100 5.500
angles (deg): 90.00 90.00 90.00
Fractional positions:
Tb: 0.061 0.250 0.025
Tb: 0.439 0.750 0.525
Tb: 0.561 0.250 0.475
Tb: 0.939 0.750 0.975
Sb: 0.000 0.000 0.500
Sb: 0.000 0.500 0.500
Sb: 0.500 0.000 0.000
Sb: 0.500 0.500 0.000
N: 0.201 0.560 0.802
N: 0.201 0.940 0.802
N: 0.299 0.060 0.302
N: 0.299 0.440 0.302
N: 0.701 0.560 0.698
N: 0.701 0.940 0.698
N: 0.799 0.060 0.198
N: 0.799 0.440 0.198
O: 0.038 0.750 0.382
O: 0.462 0.250 0.882
O: 0.538 0.750 0.118
O: 0.962 0.250 0.618

Properties
* SG: Pnma
* energy: -35.3 eV/f.u.


(4)
A plane-wave DFT calculation with PBE-GGA was carried out for a relaxed structure of PmBeW.

a b c (Å): 6.167 6.167 6.167
angles (deg): 90.00 90.00 90.00
Fractional positions:
Pm: 0.000 0.000 0.000
Pm: 0.000 0.500 0.500
Pm: 0.500 0.000 0.500
Pm: 0.500 0.500 0.000
Be: 0.250 0.250 0.250
Be: 0.250 0.750 0.750
Be: 0.750 0.250 0.750
Be: 0.750 0.750 0.250
W: 0.000 0.000 0.500
W: 0.000 0.500 0.000
W: 0.500 0.000 0.000
W: 0.500 0.500 0.500

Properties
* SG: F-43m
* energy: -18.7 eV/f.u.


(5)
A plane-wave DFT calculation with PBE-GGA was carried out for a relaxed structure of MgCdAu2.

a b c (Å): 4.722 4.722 8.305
angles (deg): 90.00 90.00 120.00
Fractional positions:
Mg: 0.000 0.000 0.250
Mg: 0.000 0.000 0.750
Cd: 0.333 0.667 0.250
Cd: 0.667 0.333 0.750
Au: 0.333 0.667 0.584
Au: 0.333 0.667 0.916
Au: 0.667 0.333 0.084
Au: 0.667 0.333 0.416

Properties
* SG: P6_3/mmc
* energy: -9.7 eV/f.u.


(6)
A plane-wave DFT calculation with PBE-GGA was carried out for a relaxed structure of Cu3GeSe3S.

a b c (Å): 7.770 7.839 6.718
angles (deg): 90.00 125.17 90.00
Fractional positions:
Cu: 0.000 0.000 0.000
Cu: 0.480 0.237 0.479
Cu: 0.480 0.763 0.479
Cu: 0.500 0.500 0.000
Cu: 0.980 0.263 0.479
Cu: 0.980 0.737 0.479
Ge: 0.481 0.000 0.996
Ge: 0.981 0.500 0.996
Se: 0.359 0.253 0.737
Se: 0.359 0.747 0.737
Se: 0.366 0.500 0.250
Se: 0.859 0.247 0.737
Se: 0.859 0.753 0.737
Se: 0.866 0.000 0.250
S: 0.360 0.000 0.241
S: 0.860 0.500 0.241

Properties
* SG: Cm
* energy: -32.6 eV/f.u.


(7)
A plane-wave DFT calculation with PBE-GGA was carried out for a relaxed structure of MgRe2Bi.

a b c (Å): 6.609 6.609 6.609
angles (deg): 90.00 90.00 90.00
Fractional positions:
Mg: 0.000 0.000 0.000
Mg: 0.000 0.500 0.500
Mg: 0.500 0.000 0.500
Mg: 0.500 0.500 0.000
Re: 0.000 0.000 0.500
Re: 0.000 0.500 0.000
Re: 0.250 0.250 0.250
Re: 0.250 0.750 0.750
Re: 0.500 0.000 0.000
Re: 0.500 0.500 0.500
Re: 0.750 0.250 0.750
Re: 0.750 0.750 0.250
Bi: 0.250 0.250 0.750
Bi: 0.250 0.750 0.250
Bi: 0.750 0.250 0.250
Bi: 0.750 0.750 0.750

Properties
* SG: F-43m
* energy: -27.3 eV/f.u.


(8)
A plane-wave DFT calculation with PBE-GGA was carried out for a relaxed structure of ScInFeCu.

a b c (Å): 6.365 6.365 6.365
angles (deg): 90.00 90.00 90.00
Fractional positions:
Sc: 0.000 0.000 0.000
Sc: 0.000 0.500 0.500
Sc: 0.500 0.000 0.500
Sc: 0.500 0.500 0.000
In: 0.250 0.250 0.250
In: 0.250 0.750 0.750
In: 0.750 0.250 0.750
In: 0.750 0.750 0.250
Fe: 0.000 0.000 0.500
Fe: 0.000 0.500 0.000
Fe: 0.500 0.000 0.000
Fe: 0.500 0.500 0.500
Cu: 0.250 0.250 0.750
Cu: 0.250 0.750 0.250
Cu: 0.750 0.250 0.250
Cu: 0.750 0.750 0.750

Properties
* SG: F-43m
* energy: -21.0 eV/f.u.


(9)
A plane-wave DFT calculation with PBE-GGA was carried out for a relaxed structure of HfAlIr.

a b c (Å): 6.353 4.287 7.618
angles (deg): 90.00 90.00 90.00
Fractional positions:
Hf: 0.028 0.250 0.176
Hf: 0.472 0.750 0.676
Hf: 0.528 0.250 0.324
Hf: 0.972 0.750 0.824
Al: 0.141 0.250 0.557
Al: 0.359 0.750 0.057
Al: 0.641 0.250 0.943
Al: 0.859 0.750 0.443
Ir: 0.248 0.250 0.880
Ir: 0.252 0.750 0.380
Ir: 0.748 0.250 0.620
Ir: 0.752 0.750 0.120

Properties
* SG: Pnma
* energy: -25.4 eV/f.u.


(10)
A plane-wave DFT calculation with PBE-GGA was carried out for a relaxed structure of PmHfPO.

a b c (Å): 4.179 4.179 8.697
angles (deg): 90.00 90.00 90.00
Fractional positions:
Pm: 0.250 0.250 0.124
Pm: 0.750 0.750 0.876
Hf: 0.250 0.750 0.500
Hf: 0.750 0.250 0.500
P: 0.250 0.250 0.677
P: 0.750 0.750 0.323
O: 0.250 0.750 0.000
O: 0.750 0.250 0.000

Properties
* SG: P4/nmm
* energy: -33.0 eV/f.u.


(11)
A plane-wave DFT calculation with PBE-GGA was carried out for a relaxed structure of YLu2Ge4Au4.

a b c (Å): 8.360 8.360 8.360
angles (deg): 150.20 130.04 59.26
Fractional positions:
Y: 0.000 0.000 0.000
Lu: 0.375 0.875 0.500
Lu: 0.625 0.125 0.500
Ge: 0.218 0.218 0.000
Ge: 0.318 0.500 0.818
Ge: 0.682 0.500 0.182
Ge: 0.782 0.782 0.000
Au: 0.036 0.333 0.703
Au: 0.370 0.667 0.703
Au: 0.630 0.333 0.297
Au: 0.964 0.667 0.297

Properties
* SG: Immm
* energy: -54.1 eV/f.u.


(12)
A plane-wave DFT calculation with PBE-GGA was carried out for a relaxed structure of Cu4IBrCl2.

a b c (Å): 5.638 5.638 11.332
angles (deg): 90.00 90.00 90.00
Fractional positions:
Cu: 0.224 0.243 0.372
Cu: 0.243 0.776 0.628
Cu: 0.257 0.724 0.128
Cu: 0.276 0.257 0.872
Cu: 0.724 0.743 0.872
Cu: 0.743 0.276 0.128
Cu: 0.757 0.224 0.628
Cu: 0.776 0.757 0.372
I: 0.000 0.000 0.000
I: 0.500 0.500 0.500
Br: 0.000 0.500 0.750
Br: 0.500 0.000 0.250
Cl: 0.000 0.000 0.500
Cl: 0.000 0.500 0.250
Cl: 0.500 0.000 0.750
Cl: 0.500 0.500 0.000

Properties
* SG: I-4
* energy: -24.0 eV/f.u.